Material: YAlTe
Method: DFT, GGA-PBE
State: optimized geometry

a = 4.898 Å, b = 4.898 Å, c = 3.716 Å
α = 90.00°, β = 90.00°, γ = 120.00°
Atoms (fractional coordinates):
1 Y 0.333 0.667 0.667
2 Te 0.667 0.333 0.167
3 Al 0.000 0.000 0.167

Energy relative to the elements, uncorrected, meV/atom: -386
Space-group type: P-6m2
Uncorrected energy, eV per cell: -14.51